Record 1
AsIrCl2 | PBE | relaxed

```
4
Lattice="0.000 3.254 3.254 3.254 0.000 3.254 3.254 3.254 0.000" Properties=species:S:1:pos:R:3 pbc="T T T"
As 0.000 0.000 0.000
Ir 3.254 3.254 3.254
Cl 1.627 1.627 1.627
Cl 4.881 4.881 4.881
```

## Properties
ΔE_f (raw), meV/atom: 1003
Calculated density, g/cm³: 8.144
ΔE to the lowest computed polymorph, meV/atom: 1473
Symmetry: No. 225
Crystal system: cubic


Record 2
Tb4TlGe2 | PBE | relaxed

```
7
Lattice="2.340 1.351 10.535 -2.340 1.351 10.535 0.000 -2.702 10.535" Properties=species:S:1:pos:R:3 pbc="T T T"
Tb 0.000 0.000 3.611
Tb 0.000 0.000 9.426
Tb 0.000 0.000 22.179
Tb 0.000 0.000 27.993
Tl 0.000 0.000 15.802
Ge 0.000 0.000 12.649
Ge 0.000 0.000 18.955
```

## Properties
Energy of formation, eV per atom: -0.482
Calculated density, g/cm³: 8.191
Symmetry: No. 166
Crystal system: trigonal


Number 1: spin magnetization 0.00 Bohr magnetons per cell. Number 2: spin magnetization 0.00 Bohr magnetons per cell.